Ta2MoC | PBEsol | optimized geometry

Results
V: 14.23 A^3/atom
formation energy from the elements: 1165 meV per atom
space-group type: F-43m, No. 216
final energy: -41.85 eV/cell

Geometry as POSCAR:
```
Ta2MoC
1.0
4.318 0.000 0.000
2.159 3.740 0.000
2.159 1.247 3.526
Ta Mo C
2 1 1
Cartesian
0.000 0.000 0.000 Ta
2.159 1.247 0.881 Ta
6.477 3.740 2.644 Mo
4.318 2.493 1.763 C
```